First-principles (PBE) data for a geometry-optimized NaTbNi structure, as listed in OQMD via LeMat-Bulk.

Cell and atoms, written as CIF:
```
data_NaTbNi
_cell_length_a 4.5623
_cell_length_b 4.5623
_cell_length_c 4.5623
_cell_angle_alpha 60.00
_cell_angle_beta 60.00
_cell_angle_gamma 60.00
_space_group_name_H-M_alt 'P 1'
_space_group_IT_number 1
_space_group_name_Hall 'P 1'
loop_
_atom_site_label
_atom_site_fract_x
_atom_site_fract_y
_atom_site_fract_z
Na1 0.0000 0.0000 0.0000
Tb1 0.2500 0.2500 0.2500
Ni1 0.7500 0.7500 0.7500
```



First-principles (PBE) data for a geometry-optimized NaNi3Te5 structure, as listed in OQMD via LeMat-Bulk.

Cell and atoms, written as CIF:
```
data_NaNi3Te5
_cell_length_a 5.6926
_cell_length_b 5.6926
_cell_length_c 7.6442
_cell_angle_alpha 90.00
_cell_angle_beta 90.00
_cell_angle_gamma 120.00
_space_group_name_H-M_alt 'P 1'
_space_group_IT_number 1
_space_group_name_Hall 'P 1'
loop_
_atom_site_label
_atom_site_fract_x
_atom_site_fract_y
_atom_site_fract_z
Na1 0.0000 0.0000 0.0000
Ni1 0.0000 0.5000 0.5000
Ni2 0.5000 0.0000 0.5000
Ni3 0.5000 0.5000 0.5000
Te1 0.0000 0.0000 0.5000
Te2 0.3333 0.6667 0.2380
Te3 0.3333 0.6667 0.7620
Te4 0.6667 0.3333 0.2380
Te5 0.6667 0.3333 0.7620
```



First-principles (PBE) data for a geometry-optimized NaTmNiTe3 structure, as listed in OQMD via LeMat-Bulk.

Cell and atoms, written as CIF:
```
data_NaTmNiTe3
_cell_length_a 8.1141
_cell_length_b 8.1141
_cell_length_c 10.4709
_cell_angle_alpha 90.00
_cell_angle_beta 90.00
_cell_angle_gamma 150.71
_space_group_name_H-M_alt 'P 1'
_space_group_IT_number 1
_space_group_name_Hall 'P 1'
loop_
_atom_site_label
_atom_site_fract_x
_atom_site_fract_y
_atom_site_fract_z
Na1 0.2479 0.7521 0.7500
Na2 0.7521 0.2479 0.2500
Tm1 0.0000 0.0000 0.0000
Tm2 0.0000 0.0000 0.5000
Ni1 0.4899 0.5101 0.2500
Ni2 0.5101 0.4899 0.7500
Te1 0.0917 0.9083 0.2500
Te2 0.3707 0.6293 0.0859
Te3 0.3707 0.6293 0.4141
Te4 0.6293 0.3707 0.5859
Te5 0.6293 0.3707 0.9141
Te6 0.9083 0.0917 0.7500
```



First-principles (PBE) data for a geometry-optimized NaTmNiTe3 structure, as listed in OQMD via LeMat-Bulk.

Cell and atoms, written as CIF:
```
data_NaTmNiTe3
_cell_length_a 12.0912
_cell_length_b 4.2183
_cell_length_c 12.2826
_cell_angle_alpha 90.00
_cell_angle_beta 90.00
_cell_angle_gamma 90.00
_space_group_name_H-M_alt 'P 1'
_space_group_IT_number 1
_space_group_name_Hall 'P 1'
loop_
_atom_site_label
_atom_site_fract_x
_atom_site_fract_y
_atom_site_fract_z
Na1 0.2101 0.2500 0.0109
Na2 0.2899 0.7500 0.5109
Na3 0.7101 0.2500 0.4891
Na4 0.7899 0.7500 0.9891
Tm1 0.0401 0.2500 0.3018
Tm2 0.4599 0.7500 0.8018
Tm3 0.5401 0.2500 0.1982
Tm4 0.9599 0.7500 0.6982
Ni1 0.2353 0.7500 0.2152
Ni2 0.2647 0.2500 0.7152
Ni3 0.7353 0.7500 0.2848
Ni4 0.7647 0.2500 0.7848
Te1 0.0501 0.7500 0.1252
Te2 0.0982 0.2500 0.5757
Te3 0.2036 0.7500 0.8058
Te4 0.2964 0.2500 0.3058
Te5 0.4018 0.7500 0.0757
Te6 0.4499 0.2500 0.6252
Te7 0.5501 0.7500 0.3748
Te8 0.5982 0.2500 0.9243
Te9 0.7036 0.7500 0.6942
Te10 0.7964 0.2500 0.1942
Te11 0.9018 0.7500 0.4243
Te12 0.9499 0.2500 0.8748
```



First-principles (PBE) data for a geometry-optimized NaZrNiTe3 structure, as listed in OQMD via LeMat-Bulk.

Cell and atoms, written as CIF:
```
data_NaZrNiTe3
_cell_length_a 7.8262
_cell_length_b 7.8262
_cell_length_c 10.4972
_cell_angle_alpha 90.00
_cell_angle_beta 90.00
_cell_angle_gamma 150.98
_space_group_name_H-M_alt 'P 1'
_space_group_IT_number 1
_space_group_name_Hall 'P 1'
loop_
_atom_site_label
_atom_site_fract_x
_atom_site_fract_y
_atom_site_fract_z
Na1 0.2448 0.7552 0.7500
Na2 0.7552 0.2448 0.2500
Zr1 0.0000 0.0000 0.0000
Zr2 0.0000 0.0000 0.5000
Ni1 0.4762 0.5238 0.2500
Ni2 0.5238 0.4762 0.7500
Te1 0.0847 0.9153 0.2500
Te2 0.3652 0.6348 0.0667
Te3 0.3652 0.6348 0.4333
Te4 0.6348 0.3652 0.5667
Te5 0.6348 0.3652 0.9333
Te6 0.9153 0.0847 0.7500
```



First-principles (PBE) data for a geometry-optimized NaTh3Ni structure, as listed in OQMD via LeMat-Bulk.

Cell and atoms, written as CIF:
```
data_NaTh3Ni
_cell_length_a 7.7227
_cell_length_b 7.7227
_cell_length_c 7.7227
_cell_angle_alpha 123.05
_cell_angle_beta 123.05
_cell_angle_gamma 84.80
_space_group_name_H-M_alt 'P 1'
_space_group_IT_number 1
_space_group_name_Hall 'P 1'
loop_
_atom_site_label
_atom_site_fract_x
_atom_site_fract_y
_atom_site_fract_z
Na1 0.2500 0.7500 0.5000
Na2 0.7500 0.2500 0.5000
Th1 0.1907 0.6907 0.8813
Th2 0.2500 0.2500 0.0000
Th3 0.3093 0.1907 0.5000
Th4 0.6907 0.8093 0.5000
Th5 0.7500 0.7500 0.0000
Th6 0.8093 0.3093 0.1187
Ni1 0.0000 0.0000 0.0000
Ni2 0.5000 0.5000 0.0000
```



First-principles (PBE) data for a geometry-optimized Na2NiW2 structure, as listed in OQMD via LeMat-Bulk.

Cell and atoms, written as CIF:
```
data_Na2NiW2
_cell_length_a 7.2116
_cell_length_b 7.2116
_cell_length_c 7.2116
_cell_angle_alpha 137.39
_cell_angle_beta 59.56
_cell_angle_gamma 140.41
_space_group_name_H-M_alt 'P 1'
_space_group_IT_number 1
_space_group_name_Hall 'P 1'
loop_
_atom_site_label
_atom_site_fract_x
_atom_site_fract_y
_atom_site_fract_z
Na1 0.0873 0.0990 0.1864
Na2 0.4127 0.5990 0.0117
Na3 0.5873 0.4010 0.9883
Na4 0.9127 0.9010 0.8136
Ni1 0.2500 0.7500 0.5000
Ni2 0.7500 0.2500 0.5000
W1 0.1926 0.5866 0.7791
W2 0.3074 0.0866 0.3940
W3 0.6926 0.9134 0.6060
W4 0.8074 0.4134 0.2209
```



First-principles (PBE) data for a geometry-optimized NaYZrNi structure, as listed in OQMD via LeMat-Bulk.

Cell and atoms, written as CIF:
```
data_NaYZrNi
_cell_length_a 4.9093
_cell_length_b 4.9093
_cell_length_c 4.9093
_cell_angle_alpha 60.00
_cell_angle_beta 60.00
_cell_angle_gamma 60.00
_space_group_name_H-M_alt 'P 1'
_space_group_IT_number 1
_space_group_name_Hall 'P 1'
loop_
_atom_site_label
_atom_site_fract_x
_atom_site_fract_y
_atom_site_fract_z
Na1 0.0000 0.0000 0.0000
Y1 0.2500 0.2500 0.2500
Zr1 0.7500 0.7500 0.7500
Ni1 0.5000 0.5000 0.5000
```



First-principles (PBE) data for a geometry-optimized NaYZrNi structure, as listed in OQMD via LeMat-Bulk.

Cell and atoms, written as CIF:
```
data_NaYZrNi
_cell_length_a 4.8784
_cell_length_b 4.8784
_cell_length_c 4.8784
_cell_angle_alpha 60.00
_cell_angle_beta 60.00
_cell_angle_gamma 60.00
_space_group_name_H-M_alt 'P 1'
_space_group_IT_number 1
_space_group_name_Hall 'P 1'
loop_
_atom_site_label
_atom_site_fract_x
_atom_site_fract_y
_atom_site_fract_z
Na1 0.0000 0.0000 0.0000
Y1 0.2500 0.2500 0.2500
Zr1 0.5000 0.5000 0.5000
Ni1 0.7500 0.7500 0.7500
```



First-principles (PBE) data for a geometry-optimized NaZnNi structure, as listed in OQMD via LeMat-Bulk.

Cell and atoms, written as CIF:
```
data_NaZnNi
_cell_length_a 4.2793
_cell_length_b 4.2793
_cell_length_c 4.2793
_cell_angle_alpha 60.00
_cell_angle_beta 60.00
_cell_angle_gamma 60.00
_space_group_name_H-M_alt 'P 1'
_space_group_IT_number 1
_space_group_name_Hall 'P 1'
loop_
_atom_site_label
_atom_site_fract_x
_atom_site_fract_y
_atom_site_fract_z
Na1 0.0000 0.0000 0.0000
Zn1 0.5000 0.5000 0.5000
Ni1 0.2500 0.2500 0.2500
```



First-principles (PBE) data for a geometry-optimized NaZnNi2 structure, as listed in OQMD via LeMat-Bulk.

Cell and atoms, written as CIF:
```
data_NaZnNi2
_cell_length_a 4.2576
_cell_length_b 4.2576
_cell_length_c 4.2576
_cell_angle_alpha 60.00
_cell_angle_beta 60.00
_cell_angle_gamma 60.00
_space_group_name_H-M_alt 'P 1'
_space_group_IT_number 1
_space_group_name_Hall 'P 1'
loop_
_atom_site_label
_atom_site_fract_x
_atom_site_fract_y
_atom_site_fract_z
Na1 0.0000 0.0000 0.0000
Zn1 0.7500 0.7500 0.7500
Ni1 0.2500 0.2500 0.2500
Ni2 0.5000 0.5000 0.5000
```



First-principles (PBE) data for a geometry-optimized NaZrNi structure, as listed in OQMD via LeMat-Bulk.

Cell and atoms, written as CIF:
```
data_NaZrNi
_cell_length_a 4.4294
_cell_length_b 4.4294
_cell_length_c 4.4294
_cell_angle_alpha 60.00
_cell_angle_beta 60.00
_cell_angle_gamma 60.00
_space_group_name_H-M_alt 'P 1'
_space_group_IT_number 1
_space_group_name_Hall 'P 1'
loop_
_atom_site_label
_atom_site_fract_x
_atom_site_fract_y
_atom_site_fract_z
Na1 0.0000 0.0000 0.0000
Zr1 0.5000 0.5000 0.5000
Ni1 0.2500 0.2500 0.2500
```



First-principles (PBE) data for a geometry-optimized NaNp structure, as listed in OQMD via LeMat-Bulk.

Cell and atoms, written as CIF:
```
data_NaNp
_cell_length_a 2.8754
_cell_length_b 2.8754
_cell_length_c 6.4375
_cell_angle_alpha 90.00
_cell_angle_beta 90.00
_cell_angle_gamma 120.00
_space_group_name_H-M_alt 'P 1'
_space_group_IT_number 1
_space_group_name_Hall 'P 1'
loop_
_atom_site_label
_atom_site_fract_x
_atom_site_fract_y
_atom_site_fract_z
Na1 0.0000 0.0000 0.0000
Np1 0.6667 0.3333 0.5000
```



Ordered DFT total energy results: -3.096; -3.894; -4.277; -4.227; -4.858; -5.561; -5.979; -5.172; -4.967; -2.320; -3.130; -4.644; -6.499; unit eV/atom.
Ordered magnetic moment results: 0.0; 0.0; 0.0; 0.0; 0.0; 0.0; 0.0; 0.0; 0.0; 0.0; 0.0; 0.3; 3.1; unit μB per cell.